Here is a geometry-optimized Pd5Pt6Au structure from the Alexandria database. Energies are from PBE.

## Properties
* crystal system: orthorhombic
* total magnetization: 0.0 μB/f.u.
* VASP energy: -131.38 eV/cell

a b c (Å): 3.9552 7.9864 11.9044
angles (deg): 90.00 90.00 90.00
Last column: nearest neighbours and their distance in Å.
Space group Immm (No. 71)
Unique sites:
Pd 0.0000 0.0000 0.0000 x2  8 Pt 2.78-2.81, 4 Pd 2.81
Pd 0.0000 0.0000 0.3334 x4  8 Pt 2.79-2.84, 2 Pd 2.80, 2 Au 2.80
Pd 0.0000 0.5000 0.3328 x4  8 Pt 2.79-2.82, 4 Pd 2.80-2.81
Pt 0.0000 0.2474 0.1678 x8  4 Pt 2.78-2.81, 7 Pd 2.79-2.83, 1 Au 2.84
Pt 0.0000 0.2553 0.5000 x4  6 Pd 2.78-2.84, 4 Pt 2.81, 2 Au 2.84
Au 0.0000 0.5000 0.0000 x2  4 Pd 2.80, 8 Pt 2.84